# 1
A relaxed Nb2FeIr2 crystal, computed with PBE.

Formation energy in eV/atom: 0.154
Theoretical density in g/cm³: 12.38
E in eV/f.u.: -45.55
Energy above the most stable polymorph in this dataset in meV/atom: 153

Cell lengths 7.6464, 7.6464, 2.8736 Å; angles 90.00, 90.00, 90.00 degrees
Space group P4/mbm (No. 127)
Symmetry-distinct sites (fractional):
Nb 0.1642 0.3358 0.0000 (multiplicity 4)
Fe 0.0000 0.0000 0.0000 (multiplicity 2)
Ir 0.1328 0.6328 0.5000 (multiplicity 4)

---

# 2
A relaxed NbFeIr2 crystal, computed with PBE.

Formation energy in eV/atom: -0.226
Theoretical density in g/cm³: 14.62
E in eV/f.u.: -37.16

Cell lengths 3.2859, 3.2859, 5.6075 Å; angles 90.00, 90.00, 90.00 degrees
Space group P4/mmm (No. 123)
Symmetry-distinct sites (fractional):
Nb 0.0000 0.0000 0.0000 (multiplicity 1)
Fe 0.0000 0.0000 0.5000 (multiplicity 1)
Ir 0.5000 0.5000 0.2609 (multiplicity 2)